YHgAs2, optimized geometry, DFT PBEsol; calculated total energy = -5.01 eV/atom
1.0
-3.040 1.782 1.507
-1.704 -4.075 1.381
2.244 0.425 4.025
As Y Hg
2 1 1
direct
0.000 0.000 0.500
0.000 0.500 0.000
0.500 0.000 0.000
0.500 0.500 0.500

***

ZnHg2As, optimized geometry, DFT PBEsol; polymorph energy (0 for the lowest one) = 91.2 meV/atom
1.0
4.220 -0.066 0.000
-0.360 4.205 0.000
0.000 0.000 4.678
Zn As Hg
1 1 2
direct
0.500 0.500 0.500
0.000 0.000 0.500
0.261 0.739 0.000
0.739 0.261 0.000

***

Zn2HgAs, optimized geometry, DFT PBEsol; calculated total energy = -2.03 eV/atom
1.0
-2.939 -0.620 -2.256
-0.768 -3.295 1.907
-2.926 2.492 3.127
Zn Hg As
2 1 1
direct
0.000 0.500 0.500
0.000 0.000 0.000
0.500 0.000 0.500
0.500 0.500 0.000

***

ZnHg2As, optimized geometry, DFT PBEsol; polymorph energy (0 for the lowest one) = 164.2 meV/atom
1.0
-2.289 2.046 -0.295
-0.848 -2.173 -2.018
-4.340 -3.977 6.105
As Zn Hg
1 1 2
direct
0.500 0.500 0.000
0.500 0.500 0.500
0.000 0.000 0.266
0.000 0.000 0.734